1.
This record from Alexandria via LeMat-Bulk describes a relaxed BaTcPt2 crystal. The functional is PBE-GGA.

a b c (Å): 2.956 4.542 6.425
angles (deg): 90.00 91.56 90.00
Space group Pm (No. 6)
Asymmetric unit:
Ba: 0.000 0.000 0.000
Tc: 0.964 0.500 0.395
Pt: 0.481 0.000 0.475
Pt: 0.484 0.500 0.736

Properties
ρ = 12.045 g/cm³
DFT formation energy = 0.182 eV/atom
Volume = 21.56 Å³/atom

2.
This record from Alexandria via LeMat-Bulk describes a relaxed K2CoCl6 crystal. The functional is PBE-GGA.

a b c (Å): 6.586 6.586 12.976
angles (deg): 90.00 90.00 90.00
Space group P4_2/mnm (No. 136)
Asymmetric unit:
K: 0.000 0.000 0.167
Co: 0.000 0.000 0.500
Cl: 0.170 0.170 0.376
Cl: 0.240 0.760 0.500

Properties
ρ = 2.064 g/cm³
E_form (uncorrected) = -9.43 eV/f.u.
Volume = 31.27 Å³/atom

Among the records above, which one has the highest volume? K2CoCl6